SmTmAu2 | the Alexandria database | PBE | relaxed; E_form = -0.723 eV/atom; calculated total energy = -18.64 eV per cell; crystal system = trigonal; magnetization = 0.0000 μB/atom; SG = No. 166
1.0
4.273 0.000 0.000
2.136 3.700 0.000
2.136 1.233 6.719
Tm Au Sm
1 2 1
Cartesian
0.000 0.000 0.000 Tm
6.409 3.700 5.156 Au
2.136 1.233 1.563 Au
4.273 2.467 3.359 Sm